Record 1
NdScCuTc GGA-PBE optimized geometry; SG = F-43m (216); crystal system = cubic; energy relative to the elements = -33 meV per atom; DOS(E_F) = 3.88 states/eV per cell
1.0
4.815 0.000 0.000
2.407 4.170 0.000
2.407 1.390 3.931
Sc Nd Tc Cu
1 1 1 1
Direct
0.000 0.000 0.000
0.500 0.500 0.500
0.750 0.750 0.750
0.250 0.250 0.250


Record 2
AlSi4Ni2 GGA-PBE optimized geometry; SG = P3m1 (156); formation energy (no corrections) = -31.1 meV per atom; crystal system = trigonal; DOS(E_F) = 2.35 states/eV per cell; energy above the most stable polymorph in this dataset = 166 meV/atom
1.0
1.905 -3.299 0.000
1.905 3.299 0.000
0.000 0.000 9.499
Al Si Ni
1 4 2
Direct
0.000 0.000 0.694
0.000 0.000 0.988
0.000 0.000 0.435
0.667 0.333 0.297
0.667 0.333 0.825
0.667 0.333 0.060
0.333 0.667 0.368


Record 3
CeZn5Ni2 GGA-PBE optimized geometry; SG = Immm (71); crystal system = orthorhombic; energy relative to the elements = -274 meV per atom; DOS(E_F) = 5.59 states/eV per cell
1.0
-0.756 1.933 -3.212
-6.095 -0.018 -0.853
-1.903 5.640 1.565
Ce Zn Ni
1 5 2
Direct
0.000 0.000 0.000
0.000 0.500 0.500
0.655 0.527 0.162
0.345 0.473 0.838
0.345 0.838 0.473
0.655 0.162 0.527
0.728 0.772 0.772
0.272 0.228 0.228


Record 4
CaSb2HRh GGA-PBE optimized geometry; SG = P4/mmm (123); total DFT energy (no corrections) = -0.1628 hartree per atom; crystal system = tetragonal; DOS(E_F) = 2.29 states/eV per cell
1.0
5.269 0.000 0.000
0.000 3.431 0.000
0.000 0.000 5.269
Sb Ca Rh H
2 1 1 1
Direct
0.000 0.000 0.500
0.500 0.000 0.000
0.500 0.500 0.500
0.000 0.500 0.000
0.000 0.000 0.000


Record 5
TaFe2As GGA-PBE optimized geometry; SG = P2/m (10); crystal system = monoclinic; energy relative to the elements = 17 meV per atom; DOS(E_F) = 3.41 states/eV per cell
1.0
-3.788 0.876 -0.787
-0.750 -0.796 2.723
0.721 4.637 1.691
As Fe Ta
1 2 1
Direct
0.500 0.750 0.750
0.000 0.756 0.019
0.000 0.744 0.481
0.500 0.250 0.250


Record 6
ThPaTi GGA-PBE optimized geometry; SG = P2_13 (198); crystal system = cubic; energy relative to the elements = 533 meV per atom; DOS(E_F) = 25.99 states/eV per cell; energy above the most stable polymorph in this dataset = 257 meV/atom
1.0
6.849 0.000 0.000
0.000 6.849 0.000
0.000 0.000 6.849
Pa Th Ti
4 4 4
Direct
0.664 0.664 0.664
0.836 0.336 0.164
0.164 0.836 0.336
0.336 0.164 0.836
0.339 0.339 0.339
0.161 0.661 0.839
0.839 0.161 0.661
0.661 0.839 0.161
0.051 0.051 0.051
0.449 0.949 0.551
0.551 0.449 0.949
0.949 0.551 0.449


no.,V (Å³ per cell),total moment (μB per formula unit),mass density (Mg/m³)
1,79,0.0,7.38
2,119,0.0,3.57
3,128,0.0,7.56
4,95,0.0,6.76
5,58,3.1,10.52
6,321,0.0,10.56